Record 1
An optimized crystal structure of GdBePt. Source: the Open Quantum Materials Database, functional PBE-GGA.

a = 6.3690 Å, b = 6.3690 Å, c = 6.3690 Å
α = 90.00°, β = 90.00°, γ = 90.00°
With the nearest neighbours (Å) after each atom.
Space group F-43m (No. 216)
Asymmetric unit:
Gd: 0.0000 0.0000 0.0000 (multiplicity 4)  4 Pt 2.76
Be: 0.0000 0.0000 0.5000 (multiplicity 4)  4 Pt 2.76
Pt: 0.2500 0.2500 0.7500 (multiplicity 4)  4 Gd 2.76, 4 Be 2.76

Computed properties:
Its size of the total moment is 0.0 μB per formula unit. The value obtained for the electronic total energy is -62.76 eV/cell. The calculated volume is 21.5 A^3/atom.

---

Record 2
An optimized crystal structure of Zr3Al. Source: the Open Quantum Materials Database, functional PBE-GGA.

a = 5.0940 Å, b = 6.0560 Å, c = 5.5067 Å
α = 90.00°, β = 90.00°, γ = 90.00°
With the nearest neighbours (Å) after each atom.
Space group Pmmn (No. 59, origin choice 2)
Asymmetric unit:
Zr: 0.2500 0.0008 0.1616 (multiplicity 4)  8 Zr 3.02-3.25, 4 Al 3.10-3.19
Zr: 0.2500 0.2500 0.6386 (multiplicity 2)  8 Zr 3.03-3.25, 4 Al 3.03-3.06
Al: 0.2500 0.7500 0.6704 (multiplicity 2)  12 Zr 3.03-3.19

Computed properties:
Its size of the total moment is 0.0 μB per formula unit. The value obtained for the electronic total energy is -60.81 eV/cell. The calculated volume is 21.2 A^3/atom.

---

Record 3
An optimized crystal structure of LaDyAu. Source: the Open Quantum Materials Database, functional PBE-GGA.

a = 6.9857 Å, b = 6.9857 Å, c = 6.9857 Å
α = 90.00°, β = 90.00°, γ = 90.00°
With the nearest neighbours (Å) after each atom.
Space group F-43m (No. 216)
Asymmetric unit:
La: 0.0000 0.0000 0.0000 (multiplicity 4)  4 Dy 3.02
Dy: 0.2500 0.2500 0.7500 (multiplicity 4)  4 La 3.02, 4 Au 3.02
Au: 0.0000 0.0000 0.5000 (multiplicity 4)  4 Dy 3.02

Computed properties:
Its size of the total moment is 0.0 μB per formula unit. The value obtained for the electronic total energy is -51.31 eV/cell. The calculated volume is 28.4 A^3/atom. The value obtained for the formation energy is -0.012 eV/atom.

---

Record 4
An optimized crystal structure of AcIr2. Source: the Open Quantum Materials Database, functional PBE-GGA.

a = 7.8587 Å, b = 7.8587 Å, c = 7.8587 Å
α = 90.00°, β = 90.00°, γ = 90.00°
With the nearest neighbours (Å) after each atom.
Space group Fd-3m (No. 227, origin choice 2)
Asymmetric unit:
Ac: 0.1250 0.1250 0.1250 (multiplicity 8)  12 Ir 3.26, 4 Ac 3.40
Ir: 0.0000 0.0000 0.5000 (multiplicity 16)  6 Ir 2.78

Computed properties:
Its size of the total moment is 0.0 μB per formula unit. The value obtained for the electronic total energy is -188.16 eV/cell. The calculated volume is 20.2 A^3/atom. The value obtained for the formation energy is -0.568 eV/atom.

---

Record 5
An optimized crystal structure of MgNiPdPb. Source: the Open Quantum Materials Database, functional PBE-GGA.

a = 6.4950 Å, b = 6.4950 Å, c = 6.4950 Å
α = 90.00°, β = 90.00°, γ = 90.00°
With the nearest neighbours (Å) after each atom.
Space group F-43m (No. 216)
Asymmetric unit:
Mg: 0.0000 0.0000 0.0000 (multiplicity 4)  4 Pd 2.81, 4 Ni 2.81
Ni: 0.2500 0.2500 0.7500 (multiplicity 4)  4 Pb 2.81, 4 Mg 2.81
Pd: 0.2500 0.2500 0.2500 (multiplicity 4)  4 Pb 2.81, 4 Mg 2.81
Pb: 0.0000 0.0000 0.5000 (multiplicity 4)  4 Ni 2.81, 4 Pd 2.81

Computed properties:
Its size of the total moment is 0.0 μB per formula unit. The value obtained for the electronic total energy is -67.56 eV/cell. The calculated volume is 17.1 A^3/atom.

---

Record 6
An optimized crystal structure of AgPd2. Source: the Open Quantum Materials Database, functional PBE-GGA.

a = 7.3561 Å, b = 7.3561 Å, c = 7.3561 Å
α = 90.00°, β = 90.00°, γ = 90.00°
With the nearest neighbours (Å) after each atom.
Space group Fd-3m (No. 227, origin choice 2)
Asymmetric unit:
Ag: 0.1250 0.1250 0.1250 (multiplicity 8)  12 Pd 3.05, 4 Ag 3.19
Pd: 0.0000 0.0000 0.5000 (multiplicity 16)  6 Pd 2.60

Computed properties:
The value obtained for the electronic total energy is -103.94 eV/cell. The calculated volume is 16.6 A^3/atom. The value obtained for the formation energy is 0.061 eV/atom.

---

Record 7
An optimized crystal structure of Cd3PCl3. Source: the Open Quantum Materials Database, functional PBE-GGA.

a = 13.2182 Å, b = 8.0781 Å, c = 7.0700 Å
α = 90.00°, β = 90.00°, γ = 90.00°
With the nearest neighbours (Å) after each atom.
Space group Pnma (No. 62)
Asymmetric unit:
Cd: 0.0000 0.0000 0.0000 (multiplicity 4)  2 P 2.48
Cd: 0.0872 0.2500 0.4872 (multiplicity 4)  1 P 2.47, 3 Cl 2.60-2.67
Cd: 0.2455 0.7500 0.5038 (multiplicity 4)  1 P 2.50, 3 Cl 2.55-2.77
P: 0.0799 0.2500 0.1385 (multiplicity 4)  4 Cd 2.47-2.50
Cl: 0.0828 0.7500 0.3096 (multiplicity 4)  2 Cd 2.55-2.67
Cl: 0.1689 0.0215 0.6952 (multiplicity 8)  2 Cd 2.60-2.77

Computed properties:
The value obtained for the electronic total energy is -75.62 eV/cell. The calculated volume is 27.0 A^3/atom.

---

Record 8
An optimized crystal structure of NiBiPt. Source: the Open Quantum Materials Database, functional PBE-GGA.

a = 7.5707 Å, b = 7.5707 Å, c = 3.3496 Å
α = 90.00°, β = 90.00°, γ = 120.00°
With the nearest neighbours (Å) after each atom.
Space group P-62m (No. 189)
Asymmetric unit:
Ni: 0.0000 0.6083 0.0000 (multiplicity 3)  5 Pt 2.87-2.97, 6 Bi 2.90-3.16
Bi: 0.0000 0.2957 0.5000 (multiplicity 3)  4 Pt 2.68-2.80, 2 Ni 2.90
Pt: 0.0000 0.0000 0.0000 (multiplicity 1)  6 Bi 2.80, 3 Ni 2.97
Pt: 0.3333 0.6667 0.5000 (multiplicity 2)  3 Bi 2.68, 6 Ni 2.87

Computed properties:
Its size of the total moment is 0.0 μB per formula unit. The value obtained for the electronic total energy is -45.57 eV/cell. The calculated volume is 18.5 A^3/atom.